(1)
# K7Na12Tl

A relaxed K7Na12Tl crystal (PBE, Alexandria).

It has space group Im-3 (No. 204), with a = 13.602 Å, b = 13.602 Å, c = 13.602 Å, α = 90.00°, β = 90.00° and γ = 90.00°. The asymmetric unit holds K at (0.000, 0.000, 0.500), K at (0.250, 0.250, 0.250), Na at (0.000, 0.365, 0.256) and Tl at (0.000, 0.000, 0.000).

Its density of states at the Fermi level is 29.97 states/eV per cell. Its energy relative to the elements is 0.23 eV per atom. The calculated total energy is -1.06 eV per atom. The calculation puts the total moment at 0.024 μB per atom.

---

(2)
# K12Na6Tl

A relaxed K12Na6Tl crystal (PBE, Alexandria).

It has space group R-3m (No. 166, hexagonal axes), with a = 13.0612 Å, b = 13.0612 Å, c = 22.2835 Å, α = 90.00°, β = 90.00° and γ = 120.00°. The asymmetric unit holds K at (0.0699, 0.5350, 0.4019), K at (0.1049, 0.5524, 0.0888), Na at (0.1002, 0.2005, 0.1033) and Tl at (0.0000, 0.0000, 0.0000).

Its density of states at the Fermi level is 30.37 states/eV per cell. Its energy relative to the elements is 0.02 eV per atom. The calculated total energy is -1.21 eV per atom. The calculation puts the total moment at 0.000 μB per atom.